The following is a DFT calculation (PBE) of a relaxed Nb3GaRh crystal.

Energy above the most stable polymorph in this dataset (meV/atom): 0
DFT total energy (eV per atom): -7.19
DOS(E_F) (states/eV/cell): 5.97
E_form (eV/atom): 0.929

a = 4.8128 Å, b = 4.8128 Å, c = 4.8128 Å
α = 90.00°, β = 90.00°, γ = 90.00°
Space group Pm-3m (No. 221)
Asymmetric unit:
Nb 0.0000 0.0000 0.5000 x3
Ga 0.5000 0.5000 0.5000 x1
Rh 0.0000 0.0000 0.0000 x1



The following is a DFT calculation (PBE) of a relaxed PaGaAg crystal.

DFT total energy (eV per atom): -5.15
DOS(E_F) (states/eV/cell): 7.83
E_form (eV/atom): -0.029

a = 3.0978 Å, b = 3.0978 Å, c = 12.6206 Å
α = 90.00°, β = 90.00°, γ = 90.00°
Space group I4mm (No. 107)
Asymmetric unit:
Pa 0.0000 0.0000 0.0000 x2
Ga 0.0000 0.0000 0.3281 x2
Ag 0.0000 0.0000 0.6913 x2



Which of these has the lowest DFT total energy?
Nb3GaRh



The lowest DOS(E_F) belongs to which entry?
Nb3GaRh



Which of these has the highest DOS(E_F)?
PaGaAg



Number 1 is which compound?
Nb3GaRh